## P
The following is a GGA-PBE calculation of a relaxed structure of KTlSn2, from Alexandria.

Unit cell a=5.0118 b=5.0118 c=11.8158 alpha=77.76 beta=77.76 gamma=90.00
Positions (direct):
K (0.2500, 0.7500, 0.5000)
K (0.5000, 0.5000, 0.0000)
Sn (0.8750, 0.9488, 0.7500)
Sn (0.3750, 0.3012, 0.7500)
Sn (0.6988, 0.1250, 0.2500)
Sn (0.0512, 0.6250, 0.2500)
Tl (0.7500, 0.2500, 0.5000)
Tl (0.0000, 0.0000, 0.0000)

Density: 5.64 g/cm³
Symmetry: No. 122
Spin magnetization: 0.00 μB per cell

***

## Q
The following is a GGA-PBE calculation of a relaxed structure of KTlSn2, from Alexandria.

Unit cell a=7.4262 b=7.8040 c=9.9115 alpha=90.00 beta=90.00 gamma=90.00
Positions (direct):
Sn (0.4477, 0.3265, 0.4629)
Sn (0.9477, 0.1735, 0.9629)
Sn (0.0523, 0.3265, 0.4629)
Sn (0.9477, 0.6735, 0.5371)
Sn (0.4477, 0.8265, 0.0371)
Sn (0.5523, 0.1735, 0.9629)
Sn (0.5523, 0.6735, 0.5371)
Sn (0.0523, 0.8265, 0.0371)
K (0.7500, 0.0073, 0.3097)
K (0.2500, 0.4927, 0.8097)
K (0.7500, 0.5073, 0.1903)
K (0.2500, 0.9927, 0.6903)
Tl (0.7500, 0.7553, 0.8256)
Tl (0.2500, 0.7447, 0.3256)
Tl (0.7500, 0.2553, 0.6744)
Tl (0.2500, 0.2447, 0.1744)

Density: 5.56 g/cm³
Symmetry: No. 62
Spin magnetization: 0.00 μB per cell

***

## R
The following is a GGA-PBE calculation of a relaxed structure of KTlSn2, from Alexandria.

Unit cell a=5.6099 b=5.6099 c=5.6099 alpha=60.00 beta=60.00 gamma=60.00
Positions (direct):
Sn (0.2500, 0.2500, 0.2500)
Sn (0.7500, 0.7500, 0.7500)
K (0.0000, 0.0000, 0.0000)
Tl (0.5000, 0.5000, 0.5000)

Density: 6.40 g/cm³
Symmetry: No. 225
Spin magnetization: 0.00 μB per cell

***

Stability, lowest: P

***

## P
The following is a GGA-PBE calculation of a relaxed structure of K3Tl4Sn, from Alexandria.

Unit cell a=7.7399 b=7.7399 c=7.7399 alpha=113.12 beta=88.57 gamma=129.22
Positions (direct):
Sn (0.0143, 0.5000, 0.5143)
K (0.5642, 0.7793, 0.3435)
K (0.9487, 0.0000, 0.9487)
K (0.5642, 0.2207, 0.7849)
Tl (0.2515, 0.6842, 0.9357)
Tl (0.0223, 0.7440, 0.2783)
Tl (0.2515, 0.3158, 0.5674)
Tl (0.5343, 0.2560, 0.2783)

Density: 5.58 g/cm³
Symmetry: No. 44
Spin magnetization: 0.00 μB per cell

***

## Q
The following is a GGA-PBE calculation of a relaxed structure of K3Tl4Sn, from Alexandria.

Unit cell a=7.8206 b=12.0217 c=12.9792 alpha=90.00 beta=90.00 gamma=90.00
Positions (direct):
Tl (0.8364, 0.2500, 0.3119)
Tl (0.1515, 0.7500, 0.9488)
Tl (0.3921, 0.9518, 0.9143)
Tl (0.6515, 0.2500, 0.5512)
Tl (0.6079, 0.4518, 0.0857)
Tl (0.3485, 0.7500, 0.4488)
Tl (0.3921, 0.5482, 0.9143)
Tl (0.1636, 0.7500, 0.6881)
Tl (0.3364, 0.7500, 0.1881)
Tl (0.8485, 0.2500, 0.0512)
Tl (0.8921, 0.0482, 0.5857)
Tl (0.1079, 0.5482, 0.4143)
Tl (0.8921, 0.4518, 0.5857)
Tl (0.6636, 0.2500, 0.8119)
Tl (0.6079, 0.0482, 0.0857)
Tl (0.1079, 0.9518, 0.4143)
K (0.1215, 0.4752, 0.1517)
K (0.2275, 0.2500, 0.4347)
K (0.8785, 0.9752, 0.8483)
K (0.8785, 0.5248, 0.8483)
K (0.7275, 0.7500, 0.0653)
K (0.3785, 0.0248, 0.6517)
K (0.3785, 0.4752, 0.6517)
K (0.1215, 0.0248, 0.1517)
K (0.7725, 0.7500, 0.5653)
K (0.6215, 0.5248, 0.3483)
K (0.6215, 0.9752, 0.3483)
K (0.2725, 0.2500, 0.9347)
Sn (0.4841, 0.2500, 0.2005)
Sn (0.5159, 0.7500, 0.7995)
Sn (0.9841, 0.7500, 0.2995)
Sn (0.0159, 0.2500, 0.7005)

Density: 5.73 g/cm³
Symmetry: No. 62
Spin magnetization: 0.00 μB per cell

***

Stability, lowest: P

***

## P
The following is a GGA-PBE calculation of a relaxed structure of KTl4Sn2, from Alexandria.

Unit cell a=5.1064 b=5.5465 c=8.8851 alpha=108.19 beta=90.00 gamma=90.00
Positions (direct):
Tl (0.5000, 0.1808, 0.3616)
Tl (0.0000, 0.6914, 0.3828)
Tl (0.5000, 0.8192, 0.6384)
Tl (0.0000, 0.3086, 0.6172)
Sn (0.5000, 0.5862, 0.1724)
Sn (0.5000, 0.4138, 0.8276)
K (0.0000, 0.0000, 0.0000)

Density: 7.60 g/cm³
Symmetry: No. 65
Spin magnetization: 0.00 μB per cell

***

## Q
The following is a GGA-PBE calculation of a relaxed structure of KTl4Sn2, from Alexandria.

Unit cell a=6.3250 b=6.7668 c=6.7668 alpha=77.38 beta=62.14 gamma=62.14
Positions (direct):
Sn (0.7500, 0.5000, 0.5000)
Sn (0.2500, 0.5000, 0.5000)
Tl (0.3046, 0.3908, 0.0000)
Tl (0.6954, 0.6092, 0.0000)
Tl (0.6954, 0.0000, 0.6092)
Tl (0.3046, 0.0000, 0.3908)
K (0.0000, 0.0000, 0.0000)

Density: 8.03 g/cm³
Symmetry: No. 139
Spin magnetization: 0.00 μB per cell

***

Stability, lowest: Q

***

## P
The following is a GGA-PBE calculation of a relaxed structure of KTl3Sn3, from Alexandria.

Unit cell a=5.9572 b=9.3822 c=9.3822 alpha=120.00 beta=90.00 gamma=90.00
Positions (direct):
Tl (0.2500, 0.5674, 0.9046)
Tl (0.2500, 0.3372, 0.4326)
Tl (0.7500, 0.4326, 0.0954)
Tl (0.7500, 0.6628, 0.5674)
Tl (0.7500, 0.9046, 0.3372)
Tl (0.2500, 0.0954, 0.6628)
Sn (0.7500, 0.0461, 0.8322)
Sn (0.2500, 0.2139, 0.0461)
Sn (0.7500, 0.7861, 0.9539)
Sn (0.2500, 0.9539, 0.1678)
Sn (0.7500, 0.1678, 0.2139)
Sn (0.2500, 0.8322, 0.7861)
K (0.7500, 0.3333, 0.6667)
K (0.2500, 0.6667, 0.3333)

Density: 7.37 g/cm³
Symmetry: No. 176
Spin magnetization: 0.00 μB per cell

***

## Q
The following is a GGA-PBE calculation of a relaxed structure of KTl3Sn3, from Alexandria.

Unit cell a=8.3169 b=8.3169 c=8.3169 alpha=90.00 beta=90.00 gamma=90.00
Positions (direct):
Tl (0.5000, 0.0000, 0.2500)
Tl (0.0000, 0.7500, 0.5000)
Tl (0.7500, 0.5000, 0.0000)
Tl (0.0000, 0.2500, 0.5000)
Tl (0.2500, 0.5000, 0.0000)
Tl (0.5000, 0.0000, 0.7500)
K (0.5000, 0.5000, 0.5000)
K (0.0000, 0.0000, 0.0000)
Sn (0.0000, 0.5000, 0.7500)
Sn (0.5000, 0.7500, 0.0000)
Sn (0.2500, 0.0000, 0.5000)
Sn (0.0000, 0.5000, 0.2500)
Sn (0.5000, 0.2500, 0.0000)
Sn (0.7500, 0.0000, 0.5000)

Density: 5.82 g/cm³
Symmetry: No. 223
Spin magnetization: 0.00 μB per cell

***

Stability, lowest: Q

***

## P
The following is a GGA-PBE calculation of a relaxed structure of KTlSn4, from Alexandria.

Unit cell a=4.8551 b=6.8373 c=6.8373 alpha=68.49 beta=69.20 gamma=69.20
Positions (direct):
Sn (0.6681, 0.1337, 0.5301)
Sn (0.3319, 0.4699, 0.8663)
Sn (0.6681, 0.5301, 0.1337)
Sn (0.3319, 0.8663, 0.4699)
K (0.0000, 0.0000, 0.0000)
Tl (0.0000, 0.5000, 0.5000)

Density: 6.25 g/cm³
Symmetry: No. 71
Spin magnetization: 0.00 μB per cell

***

## Q
The following is a GGA-PBE calculation of a relaxed structure of KTlSn4, from Alexandria.

Unit cell a=6.3870 b=6.3870 c=6.3870 alpha=60.00 beta=60.00 gamma=60.00
Positions (direct):
Tl (0.0000, 0.0000, 0.0000)
Sn (0.6251, 0.6251, 0.6251)
Sn (0.1246, 0.6251, 0.6251)
Sn (0.6251, 0.6251, 0.1246)
Sn (0.6251, 0.1246, 0.6251)
K (0.2500, 0.2500, 0.2500)

Density: 6.47 g/cm³
Symmetry: No. 216
Spin magnetization: 0.00 μB per cell

***

Stability, lowest: Q

***

## P
The following is a GGA-PBE calculation of a relaxed structure of KTlSn3, from Alexandria.

Unit cell a=5.9413 b=5.9413 c=5.9413 alpha=90.00 beta=90.00 gamma=90.00
Positions (direct):
Tl (0.5000, 0.5000, 0.5000)
Sn (0.0000, 0.0000, 0.5000)
Sn (0.0000, 0.5000, 0.0000)
Sn (0.5000, 0.0000, 0.0000)
K (0.0000, 0.0000, 0.0000)

Density: 4.75 g/cm³
Symmetry: No. 221
Spin magnetization: 0.00 μB per cell

***

## Q
The following is a GGA-PBE calculation of a relaxed structure of KTlSn3, from Alexandria.

Unit cell a=5.8732 b=5.8732 c=5.8732 alpha=90.00 beta=90.00 gamma=90.00
Positions (direct):
Sn (0.0000, 0.5000, 0.0000)
Sn (0.5000, 0.0000, 0.0000)
Sn (0.0000, 0.0000, 0.5000)
K (0.5000, 0.5000, 0.5000)
Tl (0.0000, 0.0000, 0.0000)

Density: 4.91 g/cm³
Symmetry: No. 221
Spin magnetization: 0.00 μB per cell

***

Stability, lowest: P

***

## P
The following is a GGA-PBE calculation of a relaxed structure of K2Tl7Sn, from Alexandria.

Unit cell a=5.1424 b=5.1424 c=13.3753 alpha=90.00 beta=90.00 gamma=90.00
Positions (direct):
Tl (0.5000, 0.5000, 0.5000)
Tl (0.0000, 0.0000, 0.0000)
Tl (0.0000, 0.0000, 0.5000)
Tl (0.5000, 0.0000, 0.1369)
Tl (0.5000, 0.0000, 0.3617)
Tl (0.0000, 0.5000, 0.6383)
Tl (0.0000, 0.5000, 0.8631)
K (0.5000, 0.0000, 0.7569)
K (0.0000, 0.5000, 0.2431)
Sn (0.5000, 0.5000, 0.0000)

Density: 7.64 g/cm³
Symmetry: No. 115
Spin magnetization: 0.00 μB per cell

***

## Q
The following is a GGA-PBE calculation of a relaxed structure of K2Tl7Sn, from Alexandria.

Unit cell a=8.5532 b=8.5532 c=8.5532 alpha=60.00 beta=60.00 gamma=60.00
Positions (direct):
Tl (0.2454, 0.7546, 0.7546)
Tl (0.7546, 0.2454, 0.2454)
Tl (0.2454, 0.7546, 0.2454)
Tl (0.5000, 0.5000, 0.5000)
Tl (0.7546, 0.2454, 0.7546)
Tl (0.7546, 0.7546, 0.2454)
Tl (0.2454, 0.2454, 0.7546)
K (0.2500, 0.2500, 0.2500)
K (0.7500, 0.7500, 0.7500)
Sn (0.0000, 0.0000, 0.0000)

Density: 6.11 g/cm³
Symmetry: No. 225
Spin magnetization: 0.00 μB per cell

***

Stability, lowest: Q

***

## P
The following is a GGA-PBE calculation of a relaxed structure of KTmSn2, from Alexandria.

Unit cell a=3.6859 b=3.6859 c=10.8130 alpha=80.19 beta=80.19 gamma=60.00
Positions (direct):
Tm (0.0000, 0.0000, 0.0000)
Sn (0.7424, 0.7424, 0.7729)
Sn (0.2576, 0.2576, 0.2271)
K (0.5000, 0.5000, 0.5000)

Density: 5.93 g/cm³
Symmetry: No. 166
Spin magnetization: 0.00 μB per cell

***

## Q
The following is a GGA-PBE calculation of a relaxed structure of KTmSn2, from Alexandria.

Unit cell a=4.0283 b=4.0283 c=7.9010 alpha=90.00 beta=90.00 gamma=90.00
Positions (direct):
K (0.5000, 0.5000, 0.5000)
Sn (0.0000, 0.0000, 0.8133)
Sn (0.0000, 0.0000, 0.1867)
Tm (0.5000, 0.5000, 0.0000)

Density: 5.77 g/cm³
Symmetry: No. 123
Spin magnetization: 0.00 μB per cell

***

Stability, lowest: P

***

## P
The following is a GGA-PBE calculation of a relaxed structure of KVSn2, from Alexandria.

Unit cell a=3.2972 b=3.2972 c=11.1684 alpha=81.51 beta=81.51 gamma=60.00
Site moments in Bohr magnetons follow the coordinates.
Positions (direct):
V (0.5000, 0.5000, 0.5000)  0.42
K (0.0000, 0.0000, 0.0000)  -0.01
Sn (0.8984, 0.8984, 0.3048)  0.00
Sn (0.1016, 0.1016, 0.6952)  0.00

Density: 5.25 g/cm³
Symmetry: No. 166
Spin magnetization: 0.41 μB per cell

***

## Q
The following is a GGA-PBE calculation of a relaxed structure of KVSn2, from Alexandria.

Unit cell a=5.2025 b=5.2025 c=5.2025 alpha=60.00 beta=60.00 gamma=60.00
Site moments in Bohr magnetons follow the coordinates.
Positions (direct):
Sn (0.7500, 0.7500, 0.7500)  -0.01
Sn (0.2500, 0.2500, 0.2500)  -0.01
K (0.0000, 0.0000, 0.0000)  0.00
V (0.5000, 0.5000, 0.5000)  2.70

Density: 5.46 g/cm³
Symmetry: No. 225
Spin magnetization: 3.34 μB per cell

***

## R
The following is a GGA-PBE calculation of a relaxed structure of KVSn2, from Alexandria.

Unit cell a=6.0620 b=6.0620 c=9.6845 alpha=71.76 beta=71.76 gamma=90.00
Site moments in Bohr magnetons follow the coordinates.
Positions (direct):
Sn (0.8750, 0.1240, 0.7500)  -0.09
Sn (0.8760, 0.6250, 0.2500)  -0.09
Sn (0.8740, 0.1250, 0.2500)  -0.09
Sn (0.3750, 0.1260, 0.7500)  -0.09
K (0.2500, 0.7500, 0.5000)  0.00
K (0.5000, 0.5000, 0.0000)  0.00
V (0.7500, 0.2500, 0.5000)  1.69
V (0.0000, 0.0000, 0.0000)  1.69

Density: 3.41 g/cm³
Symmetry: No. 122
Spin magnetization: 3.43 μB per cell

***

Stability, lowest: R

***

## P
The following is a GGA-PBE calculation of a relaxed structure of KSnW3, from Alexandria.

Unit cell a=5.0707 b=5.0707 c=5.0707 alpha=90.00 beta=90.00 gamma=90.00
Positions (direct):
Sn (0.0000, 0.0000, 0.0000)
W (0.5000, 0.0000, 0.0000)
W (0.0000, 0.5000, 0.0000)
W (0.0000, 0.0000, 0.5000)
K (0.5000, 0.5000, 0.5000)

Density: 9.03 g/cm³
Symmetry: No. 221
Spin magnetization: 0.00 μB per cell

***

## Q
The following is a GGA-PBE calculation of a relaxed structure of KSnW3, from Alexandria.

Unit cell a=4.6242 b=4.6242 c=4.6242 alpha=90.00 beta=90.00 gamma=90.00
Positions (direct):
Sn (0.5000, 0.5000, 0.5000)
W (0.5000, 0.0000, 0.0000)
W (0.0000, 0.0000, 0.5000)
W (0.0000, 0.5000, 0.0000)
K (0.0000, 0.0000, 0.0000)

Density: 11.91 g/cm³
Symmetry: No. 221
Spin magnetization: 0.00 μB per cell

***

Stability, lowest: Q

***

## P
The following is a GGA-PBE calculation of a relaxed structure of KSn2W, from Alexandria.

Unit cell a=5.1043 b=5.1043 c=5.1043 alpha=60.00 beta=60.00 gamma=60.00
Site moments in Bohr magnetons follow the coordinates.
Positions (direct):
Sn (0.2500, 0.2500, 0.2500)  -0.03
Sn (0.7500, 0.7500, 0.7500)  -0.03
K (0.0000, 0.0000, 0.0000)  0.01
W (0.5000, 0.5000, 0.5000)  1.79

Density: 8.13 g/cm³
Symmetry: No. 225
Spin magnetization: 2.42 μB per cell

***

## Q
The following is a GGA-PBE calculation of a relaxed structure of KSn2W, from Alexandria.

Unit cell a=6.4839 b=6.4839 c=9.3802 alpha=69.78 beta=69.78 gamma=90.00
Site moments in Bohr magnetons follow the coordinates.
Positions (direct):
Sn (0.3750, 0.1282, 0.7500)  -0.03
Sn (0.8782, 0.6250, 0.2500)  -0.01
Sn (0.8718, 0.1250, 0.2500)  -0.02
Sn (0.8750, 0.1218, 0.7500)  -0.02
W (0.7500, 0.2500, 0.5000)  0.70
W (0.0000, 0.0000, 0.0000)  0.70
K (0.2500, 0.7500, 0.5000)  0.00
K (0.5000, 0.5000, 0.0000)  0.00

Density: 4.44 g/cm³
Symmetry: No. 122
Spin magnetization: 1.86 μB per cell

***

Stability, lowest: P